1.
VASP calculation (GGA-PBE) on a geometry-optimized NaHN structure.

Computed properties:
Distance to the lowest polymorph of the same formula, meV per atom: 102
Crystal system: orthorhombic
Symmetry: Fddd

a b c (Å): 8.5525 6.7327 7.6693
angles (deg): 72.53 48.67 58.80
Last column: nearest neighbours and their distance in Å.
Sites, in units of the cell vectors:
N 0.1743 0.6867 0.3299  1 H 1.04
N 0.5633 0.0757 0.4409  1 H 1.04
N 0.9201 0.4409 0.0757  1 H 1.04
N 0.3299 0.8091 0.1743  1 H 1.04
N 0.6867 0.1743 0.8091  1 H 1.04
N 0.4409 0.9201 0.5633  1 H 1.04
N 0.8091 0.3299 0.6867  1 H 1.04
N 0.0757 0.5633 0.9201  1 H 1.04
H 0.0644 0.6429 0.0276  1 N 1.04
H 0.6071 0.1856 0.9849  1 N 1.04
H 0.6429 0.0644 0.2651  1 N 1.04
H 0.2224 0.9849 0.1856  1 N 1.04
H 0.2651 0.0276 0.6429  1 N 1.04
H 0.0276 0.2651 0.0644  1 N 1.04
H 0.1856 0.6071 0.2224  1 N 1.04
H 0.9849 0.2224 0.6071  1 N 1.04
Na 0.1510 0.4064 0.6211  2 H 2.21-2.38, 2 N 2.36-2.42
Na 0.4285 0.6289 0.8436  2 H 2.21-2.38, 2 N 2.36-2.42
Na 0.6289 0.4285 0.0990  2 H 2.21-2.38, 2 N 2.36-2.42
Na 0.0990 0.8436 0.6289  2 H 2.21-2.38, 2 N 2.36-2.42
Na 0.4064 0.1510 0.8215  2 H 2.21-2.38, 2 N 2.36-2.42
Na 0.6211 0.8215 0.1510  2 H 2.21-2.38, 2 N 2.36-2.42
Na 0.8215 0.6211 0.4064  2 H 2.21-2.38, 2 N 2.36-2.42
Na 0.8436 0.0990 0.4285  2 H 2.21-2.38, 2 N 2.36-2.42

2.
VASP calculation (GGA-PBE) on a geometry-optimized PuUTa structure.

Computed properties:
DOS at the Fermi energy, states/eV per atom: 1.703
Energy relative to the elements, eV/f.u.: 1.18
Crystal system: trigonal
Symmetry: R-3m

a b c (Å): 3.3445 3.3445 12.0772
angles (deg): 82.04 82.04 60.00
Last column: nearest neighbours and their distance in Å.
Sites, in units of the cell vectors:
Ta 0.6385 0.6385 0.0846  3 Ta 2.79, 3 U 3.10
Ta 0.3615 0.3615 0.9154  3 Ta 2.79, 3 U 3.10
U 0.9042 0.9042 0.2875  3 Pu 2.60
U 0.0958 0.0958 0.7125  3 Pu 2.60
Pu 0.8112 0.8112 0.5664  3 Pu 2.50, 3 U 2.60
Pu 0.1888 0.1888 0.4336  3 Pu 2.50, 3 U 2.60

3.
VASP calculation (GGA-PBE) on a geometry-optimized CrInW2 structure.

Computed properties:
DOS at the Fermi energy, states/eV per atom: 0.940
Energy relative to the elements, eV/f.u.: 1.92
Crystal system: monoclinic
Symmetry: Pm

a b c (Å): 4.3617 2.7726 5.5265
angles (deg): 77.07 90.00 90.00
Last column: nearest neighbours and their distance in Å.
Sites, in units of the cell vectors:
Cr 0.0000 0.4872 0.4797  3 W 2.63-2.66, 2 In 2.76, 2 Cr 2.77
W 0.0000 0.0350 0.0187  2 Cr 2.66-2.96, 4 W 2.72-2.77, 2 In 2.93
W 0.5000 0.2784 0.2592  2 Cr 2.63, 4 W 2.72-2.77, 2 In 2.79-2.83
In 0.5000 0.6995 0.7424  2 Cr 2.76, 2 In 2.77, 6 W 2.79-3.04

4.
VASP calculation (GGA-PBE) on a geometry-optimized Cs2RbSbH structure.

Computed properties:
DOS at the Fermi energy, states/eV per atom: 0.857
Crystal system: tetragonal
Symmetry: P4/mmm

a b c (Å): 6.0550 6.0550 5.7286
angles (deg): 90.00 90.00 90.00
Last column: nearest neighbours and their distance in Å.
Sites, in units of the cell vectors:
Sb 0.5000 0.5000 0.5000  8 Cs 4.17, 4 Rb 4.28
Cs 0.5000 0.0000 0.0000  2 H 3.03
Cs 0.0000 0.5000 0.0000  2 H 3.03
H 0.0000 0.0000 0.0000  2 Rb 2.86, 4 Cs 3.03
Rb 0.0000 0.0000 0.5000  2 H 2.86

5.
VASP calculation (GGA-PBE) on a geometry-optimized Pr3Dy6Ho2Tl structure.

Computed properties:
DOS at the Fermi energy, states/eV per atom: 1.410
Energy relative to the elements, eV/f.u.: -0.10
Crystal system: monoclinic
Symmetry: C2/m

a b c (Å): 6.1790 6.1790 11.7012
angles (deg): 95.09 95.09 120.05
Last column: nearest neighbours and their distance in Å.
Sites, in units of the cell vectors:
Tl 0.0000 0.0000 0.0000  6 Dy 3.45-3.47, 6 Ho 3.56-3.57
Dy 0.7519 0.7519 0.2435  1 Tl 3.47, 2 Ho 3.48, 6 Dy 3.51-3.60, 3 Pr 3.59-3.62
Dy 0.5920 0.9201 0.7577  1 Tl 3.45, 2 Ho 3.48, 6 Dy 3.51-3.60, 3 Pr 3.60-3.63
Dy 0.2481 0.2481 0.7565  1 Tl 3.47, 2 Ho 3.48, 6 Dy 3.51-3.60, 3 Pr 3.59-3.62
Dy 0.4080 0.0799 0.2423  1 Tl 3.45, 2 Ho 3.48, 6 Dy 3.51-3.60, 3 Pr 3.60-3.63
Dy 0.9201 0.5920 0.7577  1 Tl 3.45, 2 Ho 3.48, 6 Dy 3.51-3.60, 3 Pr 3.60-3.63
Dy 0.0799 0.4080 0.2423  1 Tl 3.45, 2 Ho 3.48, 6 Dy 3.51-3.60, 3 Pr 3.60-3.63
Pr 0.5000 0.5000 0.5000  6 Pr 3.56-3.57, 6 Dy 3.60-3.62
Pr 0.8329 0.1671 0.5000  6 Pr 3.56-3.58, 6 Dy 3.59-3.63
Pr 0.1671 0.8329 0.5000  6 Pr 3.56-3.58, 6 Dy 3.59-3.63
Ho 0.3338 0.6662 0.0000  6 Dy 3.48, 3 Ho 3.56-3.57, 3 Tl 3.56-3.57
Ho 0.6662 0.3338 0.0000  6 Dy 3.48, 3 Ho 3.56-3.57, 3 Tl 3.56-3.57

6.
VASP calculation (GGA-PBE) on a geometry-optimized La3Nd3Pd2 structure.

Computed properties:
DOS at the Fermi energy, states/eV per atom: 1.255
Energy relative to the elements, eV/f.u.: -2.50
Crystal system: orthorhombic
Symmetry: Cmcm

a b c (Å): 3.9130 7.1391 19.1570
angles (deg): 90.00 90.00 105.91
Last column: nearest neighbours and their distance in Å.
Sites, in units of the cell vectors:
Nd 0.0563 0.1126 0.9097  2 Pd 3.07
Nd 0.6965 0.3930 0.2500  4 Pd 3.17
Nd 0.9437 0.8874 0.4097  2 Pd 3.07
Nd 0.9437 0.8874 0.0903  2 Pd 3.07
Nd 0.3035 0.6070 0.7500  4 Pd 3.17
Nd 0.0563 0.1126 0.5903  2 Pd 3.07
La 0.6666 0.3332 0.4428  2 Pd 2.95
La 0.3334 0.6668 0.9428  2 Pd 2.95
La 0.3334 0.6668 0.5572  2 Pd 2.95
La 0.6666 0.3332 0.0572  2 Pd 2.95
La 0.4281 0.8562 0.2500  2 Pd 2.95
La 0.5719 0.1438 0.7500  2 Pd 2.95
Pd 0.7160 0.4319 0.8640  3 La 2.95, 4 Nd 3.07-3.17
Pd 0.2840 0.5681 0.1360  3 La 2.95, 4 Nd 3.07-3.17
Pd 0.7160 0.4319 0.6360  3 La 2.95, 4 Nd 3.07-3.17
Pd 0.2840 0.5681 0.3640  3 La 2.95, 4 Nd 3.07-3.17

7.
VASP calculation (GGA-PBE) on a geometry-optimized Rb2TeI structure.

Computed properties:
DOS at the Fermi energy, states/eV per atom: 0.572
ΔE_f (raw), meV/atom: -1003.0
Distance to the lowest polymorph of the same formula, meV per atom: 88
Crystal system: tetragonal
Symmetry: P4/mmm

a b c (Å): 4.2018 4.2018 9.6177
angles (deg): 90.00 90.00 90.00
Last column: nearest neighbours and their distance in Å.
Sites, in units of the cell vectors:
Rb 0.0000 0.0000 0.7616  4 I 3.75, 4 Te 3.89, 4 Rb 4.20
Rb 0.0000 0.0000 0.2384  4 I 3.75, 4 Te 3.89, 4 Rb 4.20
I 0.5000 0.5000 0.0000  8 Rb 3.75, 4 I 4.20
Te 0.5000 0.5000 0.5000  8 Rb 3.89, 4 Te 4.20

8.
VASP calculation (GGA-PBE) on a geometry-optimized Ac6Sm2Y structure.

Computed properties:
DOS at the Fermi energy, states/eV per atom: 1.620
Energy relative to the elements, eV/f.u.: 1.36
Crystal system: monoclinic
Symmetry: C2/c

a b c (Å): 7.8094 9.9089 9.9089
angles (deg): 79.00 90.11 90.11
Last column: nearest neighbours and their distance in Å.
Sites, in units of the cell vectors:
Ac 0.1090 0.6502 0.1117  2 Sm 3.64-3.82, 1 Y 3.80, 4 Ac 3.84-4.00
Ac 0.8910 0.3498 0.8883  2 Sm 3.64-3.82, 1 Y 3.80, 4 Ac 3.84-4.00
Ac 0.1195 0.1031 0.6174  3 Sm 3.62-4.01, 1 Y 3.68, 5 Ac 3.78-4.00
Ac 0.8805 0.8969 0.3826  3 Sm 3.62-4.01, 1 Y 3.68, 5 Ac 3.78-4.00
Ac 0.6090 0.1117 0.6502  2 Sm 3.64-3.82, 1 Y 3.80, 4 Ac 3.84-4.00
Ac 0.3692 0.4028 0.3937  2 Sm 3.56-3.63, 8 Ac 3.63-3.94
Ac 0.3910 0.8883 0.3498  2 Sm 3.64-3.82, 1 Y 3.80, 4 Ac 3.84-4.00
Ac 0.3805 0.3826 0.8969  3 Sm 3.62-4.01, 1 Y 3.68, 5 Ac 3.78-4.00
Ac 0.1308 0.6063 0.5972  2 Sm 3.56-3.63, 8 Ac 3.63-3.94
Ac 0.8692 0.3937 0.4028  2 Sm 3.56-3.63, 8 Ac 3.63-3.94
Ac 0.6308 0.5972 0.6063  2 Sm 3.56-3.63, 8 Ac 3.63-3.94
Ac 0.6195 0.6174 0.1031  3 Sm 3.62-4.01, 1 Y 3.68, 5 Ac 3.78-4.00
Sm 0.6092 0.2052 0.1967  1 Y 3.28, 4 Ac 3.56-3.64
Sm 0.8908 0.8033 0.7948  1 Y 3.28, 4 Ac 3.56-3.64
Sm 0.3908 0.7948 0.8033  1 Y 3.28, 4 Ac 3.56-3.64
Sm 0.1092 0.1967 0.2052  1 Y 3.28, 4 Ac 3.56-3.64
Y 0.2500 0.0193 0.9807  2 Sm 3.28
Y 0.7500 0.9807 0.0193  2 Sm 3.28

9.
VASP calculation (GGA-PBE) on a geometry-optimized NdThPb6 structure.

Computed properties:
DOS at the Fermi energy, states/eV per atom: 0.779
Energy relative to the elements, eV/f.u.: -2.37
Crystal system: tetragonal
Symmetry: P4/mmm

a b c (Å): 4.9201 4.9201 9.8395
angles (deg): 90.00 90.00 90.00
Last column: nearest neighbours and their distance in Å.
Sites, in units of the cell vectors:
Pb 0.0000 0.5000 0.7502  8 Pb 3.48, 2 Th 3.48, 2 Nd 3.48
Pb 0.5000 0.0000 0.2498  8 Pb 3.48, 2 Th 3.48, 2 Nd 3.48
Pb 0.5000 0.0000 0.7502  8 Pb 3.48, 2 Th 3.48, 2 Nd 3.48
Pb 0.0000 0.5000 0.2498  8 Pb 3.48, 2 Th 3.48, 2 Nd 3.48
Pb 0.5000 0.5000 0.5000  4 Nd 3.48, 8 Pb 3.48
Pb 0.5000 0.5000 0.0000  8 Pb 3.48, 4 Th 3.48
Nd 0.0000 0.0000 0.5000  12 Pb 3.48
Th 0.0000 0.0000 0.0000  12 Pb 3.48

10.
VASP calculation (GGA-PBE) on a geometry-optimized TbCd9Pd3 structure.

Computed properties:
DOS at the Fermi energy, states/eV per atom: 0.602
Energy relative to the elements, eV/f.u.: -3.69
Crystal system: monoclinic
Symmetry: C2/m

a b c (Å): 5.6654 7.4778 7.4587
angles (deg): 81.49 67.68 67.07
Last column: nearest neighbours and their distance in Å.
Sites, in units of the cell vectors:
Pd 0.5000 0.0000 0.5000  8 Cd 2.79-2.92, 2 Pd 2.83
Pd 0.5000 0.5000 0.0000  10 Cd 2.83-2.97
Pd 0.0000 0.0000 0.5000  8 Cd 2.79-2.92, 2 Pd 2.83
Cd 0.0051 0.6665 0.3475  3 Pd 2.88-2.97, 5 Cd 3.01-3.16
Cd 0.7101 0.7895 0.7821  3 Pd 2.79-2.87, 5 Cd 2.87-3.12
Cd 0.4922 0.7895 0.2179  3 Pd 2.79-2.87, 5 Cd 2.87-3.12
Cd 0.3525 0.6665 0.6525  3 Pd 2.88-2.97, 5 Cd 3.01-3.16
Cd 0.5078 0.2105 0.7821  3 Pd 2.79-2.87, 5 Cd 2.87-3.12
Cd 0.9949 0.3335 0.6525  3 Pd 2.88-2.97, 5 Cd 3.01-3.16
Cd 0.2899 0.2105 0.2179  3 Pd 2.79-2.87, 5 Cd 2.87-3.12
Cd 0.0000 0.5000 0.0000  2 Pd 2.83, 8 Cd 2.87-3.05
Cd 0.6475 0.3335 0.3475  3 Pd 2.88-2.97, 5 Cd 3.01-3.16
Tb 0.0000 0.0000 0.0000  12 Cd 3.32-3.55, 2 Pd 3.71

11.
VASP calculation (GGA-PBE) on a geometry-optimized CrHS2 structure.

Computed properties:
DOS at the Fermi energy, states/eV per atom: 0.216
Distance to the lowest polymorph of the same formula, meV per atom: 121
Crystal system: monoclinic
Symmetry: C2/c

a b c (Å): 15.5515 6.6756 6.6756
angles (deg): 71.45 113.98 66.02
Last column: nearest neighbours and their distance in Å.
Sites, in units of the cell vectors:
Cr 0.0943 0.7909 0.5519  5 S 2.20-2.42
Cr 0.5907 0.5002 0.6587  4 S 2.20-2.44
Cr 0.4057 0.0519 0.2909  5 S 2.20-2.42
Cr 0.9057 0.2091 0.4481  5 S 2.20-2.42
Cr 0.9093 0.1587 0.0001  4 S 2.20-2.44
Cr 0.4093 0.4998 0.3413  4 S 2.20-2.44
Cr 0.5943 0.9481 0.7091  5 S 2.20-2.42
Cr 0.0907 0.8413 0.9998  4 S 2.20-2.44
S 0.7500 0.1649 0.6649  2 H 1.37
S 0.2739 0.3779 0.3165  1 H 1.40
S 0.2500 0.3318 0.8318  2 H 2.23, 2 Cr 2.32
S 0.2261 0.8165 0.8779  1 H 1.40
S 0.7500 0.6682 0.1682  2 H 2.23, 2 Cr 2.32
S 0.0266 0.7165 0.2346  3 Cr 2.20-2.29
S 0.7739 0.1835 0.1221  1 H 1.40
S 0.0006 0.2391 0.2832  3 Cr 2.20-2.28
S 0.2500 0.8351 0.3351  2 H 1.37
S 0.7261 0.6221 0.6835  1 H 1.40
S 0.4994 0.7832 0.7391  3 Cr 2.20-2.28
S 0.9734 0.2835 0.7654  3 Cr 2.20-2.29
S 0.5266 0.2654 0.7835  3 Cr 2.20-2.29
S 0.4734 0.7346 0.2165  3 Cr 2.20-2.29
S 0.5006 0.2168 0.2609  3 Cr 2.20-2.28
S 0.9994 0.7609 0.7168  3 Cr 2.20-2.28
H 0.7854 0.9113 0.7455  1 S 1.37
H 0.2854 0.7545 0.5887  1 S 1.37
H 0.7146 0.2455 0.4113  1 S 1.37
H 0.2967 0.2912 0.5647  1 S 1.40
H 0.2033 0.0647 0.7912  1 S 1.40
H 0.2146 0.0887 0.2545  1 S 1.37
H 0.7033 0.7088 0.4353  1 S 1.40
H 0.7967 0.9353 0.2088  1 S 1.40

12.
VASP calculation (GGA-PBE) on a geometry-optimized Pu4InRu3 structure.

Computed properties:
DOS at the Fermi energy, states/eV per atom: 2.786
Energy relative to the elements, eV/f.u.: 0.92
Crystal system: tetragonal
Symmetry: P4/mmm

a b c (Å): 4.7925 4.7925 8.0887
angles (deg): 90.00 90.00 90.00
Last column: nearest neighbours and their distance in Å.
Sites, in units of the cell vectors:
Pu 0.5000 0.0000 0.7930  4 Ru 2.62-2.92
Pu 0.5000 0.0000 0.2070  4 Ru 2.62-2.92
Pu 0.0000 0.5000 0.2070  4 Ru 2.62-2.92
Pu 0.0000 0.5000 0.7930  4 Ru 2.62-2.92
Ru 0.5000 0.5000 0.6635  4 Pu 2.62, 1 Ru 2.65
Ru 0.5000 0.5000 0.3365  4 Pu 2.62, 1 Ru 2.65
Ru 0.0000 0.0000 0.0000  8 Pu 2.92
In 0.0000 0.0000 0.5000  8 Pu 3.37, 8 Ru 3.64

For each record above, in turn, the calculated total magnetic moment values are 0.00, 0.00, 0.21, 1.02, 0.21, 0.00, 0.00, 0.00, 0.00, 0.00, 8.00, 19.33 μB/cell.
For each record above, in turn, the calculated final energy values are -4.33, -12.10, -9.09, -2.25, -4.46, -5.25, -2.66, -4.35, -4.60, -2.47, -5.65, -10.87 eV/atom.